Material: K3Mn2AgF9
Method: DFT, PBE+U
State: relaxed

Structure (POSCAR):
```
K3Mn2AgF9
1.0
6.054 0.000 0.000
-3.027 5.243 0.000
0.000 0.000 7.513
K Mn Ag F
3 2 1 9
Direct
0.000 0.000 0.000 K
0.333 0.667 0.651 K
0.667 0.333 0.349 K
0.333 0.667 0.156 Mn
0.667 0.333 0.844 Mn
0.000 0.000 0.500 Ag
0.000 0.500 0.000 F
0.176 0.351 0.314 F
0.176 0.824 0.314 F
0.351 0.176 0.686 F
0.500 0.000 0.000 F
0.500 0.500 0.000 F
0.649 0.824 0.314 F
0.824 0.176 0.686 F
0.824 0.649 0.686 F
```

electronic total energy	-75.29	eV per cell

---

Material: KMn2Ag2F7
Method: DFT, PBE+U
State: relaxed

Structure (POSCAR):
```
KMn2Ag2F7
1.0
-2.041 2.085 11.432
2.041 -2.085 11.432
2.041 2.085 -11.432
K Mn Ag F
1 2 2 7
Direct
0.000 0.000 0.000 K
0.406 0.406 0.000 Mn
0.594 0.594 0.000 Mn
0.236 0.736 0.500 Ag
0.764 0.264 0.500 Ag
0.091 0.591 0.500 F
0.312 0.312 0.000 F
0.411 0.911 0.500 F
0.500 0.500 0.000 F
0.589 0.089 0.500 F
0.688 0.688 0.000 F
0.909 0.409 0.500 F
```

electronic total energy	-60.07	eV per cell

---

Material: K4MnAg3F12
Method: DFT, PBE+U
State: relaxed

Structure (POSCAR):
```
K4MnAg3F12
1.0
-4.382 4.382 4.382
4.382 -4.382 4.382
4.382 4.382 -4.382
K Mn Ag F
4 1 3 12
Direct
0.000 0.000 0.500 K
0.000 0.500 0.000 K
0.500 0.000 0.000 K
0.500 0.500 0.500 K
0.000 0.000 0.000 Mn
0.000 0.500 0.500 Ag
0.500 0.000 0.500 Ag
0.500 0.500 0.000 Ag
0.000 0.223 0.223 F
0.000 0.777 0.777 F
0.223 0.000 0.223 F
0.223 0.223 0.000 F
0.250 0.500 0.750 F
0.250 0.750 0.500 F
0.500 0.250 0.750 F
0.500 0.750 0.250 F
0.750 0.250 0.500 F
0.750 0.500 0.250 F
0.777 0.000 0.777 F
0.777 0.777 0.000 F
```

electronic total energy	-85.16	eV per cell

---

Material: KMn3Ag4F12
Method: DFT, PBE+U
State: relaxed

Structure (POSCAR):
```
KMn3Ag4F12
1.0
6.205 3.582 2.580
-6.205 3.582 2.580
0.000 -7.165 2.580
K Mn Ag F
1 3 4 12
Direct
0.000 0.000 0.000 K
0.000 0.574 0.426 Mn
0.426 0.000 0.574 Mn
0.574 0.426 0.000 Mn
0.087 0.500 0.913 Ag
0.500 0.500 0.500 Ag
0.500 0.913 0.087 Ag
0.913 0.087 0.500 Ag
0.025 0.660 0.723 F
0.105 0.895 0.500 F
0.277 0.340 0.975 F
0.319 0.681 0.500 F
0.340 0.975 0.277 F
0.500 0.105 0.895 F
0.500 0.319 0.681 F
0.660 0.723 0.025 F
0.681 0.500 0.319 F
0.723 0.025 0.660 F
0.895 0.500 0.105 F
0.975 0.277 0.340 F
```

electronic total energy	-96.07	eV per cell

---

Material: K3MnAg2F8
Method: DFT, PBE+U
State: relaxed

Structure (POSCAR):
```
K3MnAg2F8
1.0
5.864 0.000 0.000
-2.932 5.079 0.000
0.000 0.000 8.404
K Mn Ag F
3 1 2 8
Direct
0.000 0.000 0.000 K
0.333 0.667 0.623 K
0.667 0.333 0.377 K
0.000 0.000 0.500 Mn
0.333 0.667 0.177 Ag
0.667 0.333 0.823 Ag
0.159 0.319 0.361 F
0.159 0.841 0.361 F
0.319 0.159 0.639 F
0.333 0.667 0.923 F
0.667 0.333 0.077 F
0.681 0.841 0.361 F
0.841 0.159 0.639 F
0.841 0.681 0.639 F
```

electronic total energy	-61.47	eV per cell

---

Material: KMnAg2F6
Method: DFT, PBE+U
State: relaxed

Structure (POSCAR):
```
KMnAg2F6
1.0
5.957 0.000 0.000
0.000 6.151 0.000
-5.617 0.000 8.770
K Mn Ag F
2 2 4 12
Direct
0.000 0.000 0.000 K
0.000 0.500 0.500 K
0.500 0.000 0.500 Mn
0.500 0.500 0.000 Mn
0.246 0.042 0.744 Ag
0.246 0.458 0.244 Ag
0.754 0.542 0.756 Ag
0.754 0.958 0.256 Ag
0.159 0.103 0.287 F
0.159 0.397 0.787 F
0.281 0.653 0.050 F
0.281 0.847 0.550 F
0.456 0.245 0.092 F
0.456 0.255 0.592 F
0.544 0.745 0.408 F
0.544 0.755 0.908 F
0.719 0.153 0.450 F
0.719 0.347 0.950 F
0.841 0.603 0.213 F
0.841 0.897 0.713 F
```

electronic total energy	-90.38	eV per cell

---

Among the records above, which one has the highest electronic total energy?
KMn2Ag2F7